Below is a geometry-optimized Be2PRhW structure, with properties calculated at the PBE level.

Calculated values
For the energy, the calculation gives -27.59 eV per cell. The calculation puts the density at 6.75 g/cm³.

a b c (Å): 4.289 4.488 4.289
angles (deg): 90.00 90.00 90.00
Positions (direct):
Rh1 0.500 0.500 0.500
Be1 0.000 0.000 0.500
Be2 0.500 0.000 0.000
P1 0.000 0.500 0.000
W1 0.000 0.000 0.000